w) A plane-wave DFT calculation with PBE was carried out for crystalline BaSeI2O at its relaxed geometry.

extended XYZ file:
```
5
Lattice="6.992 0.000 0.000 0.000 6.992 0.000 0.000 0.000 4.526" Properties=species:S:1:pos:R:3 pbc="T T T"
I 0.000 3.496 0.000
I 3.496 0.000 0.000
O 0.000 0.000 2.263
Ba 0.000 0.000 0.000
Se 3.496 3.496 2.263
```

Summary:
- DOS(E_F) (states/eV per cell) = 4.66
- spin magnetization (μB per cell) = 3.3
- space group = P4/mmm, No. 123
- crystal system = tetragonal

***

x) A plane-wave DFT calculation with PBE was carried out for crystalline BaSeI2O at its relaxed geometry.

extended XYZ file:
```
5
Lattice="6.207 0.000 0.000 0.000 6.207 0.000 0.000 0.000 4.012" Properties=species:S:1:pos:R:3 pbc="T T T"
I 0.000 3.103 0.000
I 3.103 0.000 0.000
O 0.000 0.000 2.006
Ba 3.103 3.103 2.006
Se 0.000 0.000 0.000
```

Summary:
- DOS(E_F) (states/eV per cell) = 4.20
- spin magnetization (μB per cell) = 0.1
- space group = P4/mmm, No. 123
- crystal system = tetragonal

***

Short version: w) is the least stable of them.

***

w) A plane-wave DFT calculation with PBE was carried out for crystalline BaSiIO2 at its relaxed geometry.

extended XYZ file:
```
5
Lattice="-1.740 -0.258 -4.042 3.992 -0.848 -1.665 -0.805 -5.110 0.673" Properties=species:S:1:pos:R:3 pbc="T T T"
I -0.403 -2.555 0.336
Si 0.000 0.000 0.000
Ba 0.723 -3.108 -2.517
O 1.996 -0.424 -0.832
O -0.870 -0.129 -2.021
```

Summary:
- DOS(E_F) (states/eV per cell) = 1.13
- spin magnetization (μB per cell) = 0.0
- space group = P4/mmm, No. 123
- crystal system = tetragonal

***

x) A plane-wave DFT calculation with PBE was carried out for crystalline BaSiIO2 at its relaxed geometry.

extended XYZ file:
```
5
Lattice="-1.357 4.130 -1.247 -2.492 -1.818 -3.308 -5.569 -0.483 4.462" Properties=species:S:1:pos:R:3 pbc="T T T"
I -2.785 -0.242 2.231
Si -4.709 0.915 -0.047
Ba 0.000 0.000 0.000
O -1.246 -0.909 -1.654
O -0.679 2.065 -0.624
```

Summary:
- DOS(E_F) (states/eV per cell) = 4.28
- spin magnetization (μB per cell) = 0.0
- space group = P4/mmm, No. 123
- crystal system = tetragonal

***

Short version: x) is the least stable of them.

***

w) A plane-wave DFT calculation with PBE was carried out for crystalline BaSrIO2 at its relaxed geometry.

extended XYZ file:
```
5
Lattice="-4.791 -0.583 0.795 -0.647 -1.115 -4.718 0.981 -6.231 1.338" Properties=species:S:1:pos:R:3 pbc="T T T"
I 0.490 -3.115 0.669
Sr -2.229 -3.964 -1.293
Ba 0.000 0.000 0.000
O -0.324 -0.558 -2.359
O -2.395 -0.292 0.398
```

Summary:
- DOS(E_F) (states/eV per cell) = 3.46
- spin magnetization (μB per cell) = 0.3
- space group = P4/mmm, No. 123
- crystal system = tetragonal

***

x) A plane-wave DFT calculation with PBE was carried out for crystalline BaSrIO2 at its relaxed geometry.

extended XYZ file:
```
5
Lattice="4.886 0.000 0.000 0.000 4.886 0.000 0.000 0.000 6.130" Properties=species:S:1:pos:R:3 pbc="T T T"
I 0.000 0.000 3.065
Sr 0.000 0.000 0.000
Ba 2.443 2.443 3.065
O 0.000 2.443 0.000
O 2.443 0.000 0.000
```

Summary:
- DOS(E_F) (states/eV per cell) = 1.50
- spin magnetization (μB per cell) = 1.0
- space group = P4/mmm, No. 123
- crystal system = tetragonal

***

Short version: w) is the least stable of them.

***

w) A plane-wave DFT calculation with PBE was carried out for crystalline BaTaIO2 at its relaxed geometry.

extended XYZ file:
```
5
Lattice="-4.477 0.085 0.339 -0.349 -0.752 -4.413 -0.042 -7.049 1.205" Properties=species:S:1:pos:R:3 pbc="T T T"
I -0.021 -3.524 0.602
Ba 0.000 0.000 0.000
O -0.174 -0.376 -2.207
O -2.238 0.042 0.170
Ta -2.434 -3.858 -1.435
```

Summary:
- DOS(E_F) (states/eV per cell) = 6.51
- spin magnetization (μB per cell) = 3.7
- space group = P4/mmm, No. 123
- crystal system = tetragonal

***

x) A plane-wave DFT calculation with PBE was carried out for crystalline BaTaIO2 at its relaxed geometry.

extended XYZ file:
```
5
Lattice="-1.705 -3.662 1.533 0.472 -1.844 -3.878 5.164 -1.785 1.478" Properties=species:S:1:pos:R:3 pbc="T T T"
I 2.582 -0.893 0.739
Ba 1.966 -3.645 -0.434
O 0.236 -0.922 -1.939
O -0.852 -1.831 0.767
Ta 0.000 0.000 0.000
```

Summary:
- DOS(E_F) (states/eV per cell) = 2.49
- spin magnetization (μB per cell) = 0.0
- space group = P4/mmm, No. 123
- crystal system = tetragonal

***

Short version: w) is the least stable of them.

***

w) A plane-wave DFT calculation with PBE was carried out for crystalline BaTlI2O at its relaxed geometry.

extended XYZ file:
```
5
Lattice="6.424 0.000 0.000 0.000 6.424 0.000 0.000 0.000 4.321" Properties=species:S:1:pos:R:3 pbc="T T T"
I 0.000 3.212 0.000
I 3.212 0.000 0.000
Tl 0.000 0.000 0.000
Ba 3.212 3.212 2.160
O 0.000 0.000 2.160
```

Summary:
- DOS(E_F) (states/eV per cell) = 1.35
- spin magnetization (μB per cell) = 0.0
- space group = P4/mmm, No. 123
- crystal system = tetragonal

***

x) A plane-wave DFT calculation with PBE was carried out for crystalline BaTlI2O at its relaxed geometry.

extended XYZ file:
```
5
Lattice="-4.140 -1.541 -5.328 3.871 -5.565 -1.399 -2.620 -2.517 2.764" Properties=species:S:1:pos:R:3 pbc="T T T"
I 1.936 -2.782 -0.699
I -2.070 -0.770 -2.664
Tl -1.445 -4.811 -1.982
Ba 0.000 0.000 0.000
O -1.310 -1.259 1.382
```

Summary:
- DOS(E_F) (states/eV per cell) = 5.97
- spin magnetization (μB per cell) = 0.2
- space group = P4/mmm, No. 123
- crystal system = tetragonal

***

Short version: w) is the least stable of them.

***

w) A plane-wave DFT calculation with PBE was carried out for crystalline Ba2Os2I at its relaxed geometry.

extended XYZ file:
```
10
Lattice="8.261 0.000 0.000 0.000 8.261 0.000 0.000 0.000 4.630" Properties=species:S:1:pos:R:3 pbc="T T T"
I 0.000 0.000 0.000
I 4.130 4.130 0.000
Os 3.326 7.457 0.000
Os 7.457 4.934 0.000
Os 4.934 0.804 0.000
Os 0.804 3.326 0.000
Ba 1.477 5.608 2.315
Ba 5.608 6.783 2.315
Ba 6.783 2.653 2.315
Ba 2.653 1.477 2.315
```

Summary:
- DOS(E_F) (states/eV per cell) = 10.75
- spin magnetization (μB per cell) = 4.0
- space group = P4/mbm, No. 127
- crystal system = tetragonal

***

x) A plane-wave DFT calculation with PBE was carried out for crystalline Ba2Os2I at its relaxed geometry.

extended XYZ file:
```
5
Lattice="6.229 0.000 0.000 0.000 6.229 0.000 3.114 3.114 4.164" Properties=species:S:1:pos:R:3 pbc="T T T"
I 0.000 0.000 0.000
Os 3.114 3.114 1.147
Os 6.229 6.229 3.016
Ba 6.229 3.114 2.082
Ba 3.114 6.229 2.082
```

Summary:
- DOS(E_F) (states/eV per cell) = 5.66
- spin magnetization (μB per cell) = 0.0
- space group = I4/mmm, No. 139
- crystal system = tetragonal

***

Short version: x) is the least stable of them.